(1)
! RbNaCrS2, relaxed, DFT PBE; values from VASP
&SYSTEM
  ibrav = 0, nat = 5, ntyp = 4
/
ATOMIC_SPECIES
Cr 52.00 Cr.upf
S 32.06 S.upf
Na 22.99 Na.upf
Rb 85.47 Rb.upf
CELL_PARAMETERS angstrom
-2.546 3.624 -1.176
-1.505 -2.503 -4.458
-3.583 -1.798 2.219
ATOMIC_POSITIONS angstrom
Cr 0.000 0.000 0.000
S -1.273 1.812 -0.588
S -1.792 -0.899 1.109
Na -0.752 -1.252 -2.229
Rb -3.817 -0.338 -1.707
! * symmetry: No. 123

***

(2)
! RbNa2CrS, relaxed, DFT PBE; values from VASP
&SYSTEM
  ibrav = 0, nat = 5, ntyp = 4
/
ATOMIC_SPECIES
Cr 52.00 Cr.upf
Na 22.99 Na.upf
Rb 85.47 Rb.upf
S 32.06 S.upf
CELL_PARAMETERS angstrom
-1.625 -5.332 0.141
5.907 -1.765 1.350
-1.101 0.479 5.446
ATOMIC_POSITIONS angstrom
Cr 0.000 0.000 0.000
Na -0.551 0.240 2.723
Na -0.813 -2.666 0.070
Rb 2.954 -0.882 0.675
S 1.591 -3.309 3.468
! * symmetry: No. 123
! * polymorph energy (0 for the lowest one): 0.644 eV per atom

***

(3)
! RbNa2CrS, relaxed, DFT PBE; values from VASP
&SYSTEM
  ibrav = 0, nat = 5, ntyp = 4
/
ATOMIC_SPECIES
Na 22.99 Na.upf
Rb 85.47 Rb.upf
Cr 52.00 Cr.upf
S 32.06 S.upf
CELL_PARAMETERS angstrom
5.886 0.000 0.000
0.000 4.686 0.000
0.000 0.000 5.886
ATOMIC_POSITIONS angstrom
Na 2.943 0.000 0.000
Na 0.000 0.000 2.943
Rb 2.943 2.343 2.943
Cr 0.000 2.343 0.000
S 0.000 0.000 0.000
! * symmetry: No. 123
! * polymorph energy (0 for the lowest one): 0.000 eV per atom

***

N(E_F), respectively: 3.41 0.11 3.41 states/eV per cell.
Formation energy from raw total energies, respectively: -0.236 0.602 -0.041 eV/atom.